DFT (PBE) results for a geometry-optimized La2AgMo structure.

## Properties
**Final energy**: -5.52 eV per atom
**Space-group type**: I-4m2
**Formation energy**: 364 meV/atom

a = 5.766 Å, b = 5.766 Å, c = 5.766 Å
α = 134.12°, β = 134.12°, γ = 66.90°
Element x y z (fractional)
La: 0.000 0.000 0.000
La: 0.750 0.250 0.500
Ag: 0.500 0.500 0.000
Mo: 0.250 0.750 0.500

---

DFT (PBE) results for a geometry-optimized TiInW2S structure.

## Properties
**Final energy**: -7.73 eV per atom
**Raw formation energy**: 9.3 kcal/mol of atoms
**Space-group type**: P4/mmm

a = 4.479 Å, b = 4.479 Å, c = 4.477 Å
α = 90.00°, β = 90.00°, γ = 90.00°
Element x y z (fractional)
Ti: 0.000 0.000 0.000
In: 0.500 0.500 0.000
W: 0.000 0.500 0.500
W: 0.500 0.000 0.500
S: 0.000 0.000 0.500

---

DFT (PBE) results for a geometry-optimized Na12Tl5Ag2 structure.

## Properties
**Final energy**: -1.82 eV per atom
**Space-group type**: C2/m
**Formation energy**: -61 meV/atom

a = 8.310 Å, b = 8.310 Å, c = 8.366 Å
α = 97.76°, β = 97.76°, γ = 79.07°
Element x y z (fractional)
Na: 0.059 0.059 0.212
Na: 0.135 0.537 0.701
Na: 0.139 0.640 0.134
Na: 0.360 0.861 0.866
Na: 0.376 0.376 0.379
Na: 0.463 0.865 0.299
Na: 0.537 0.135 0.701
Na: 0.624 0.624 0.621
Na: 0.640 0.139 0.134
Na: 0.861 0.360 0.866
Na: 0.865 0.463 0.299
Na: 0.941 0.941 0.788
Tl: 0.153 0.153 0.588
Tl: 0.244 0.244 0.985
Tl: 0.500 0.500 0.000
Tl: 0.756 0.756 0.015
Tl: 0.847 0.847 0.412
Ag: 0.212 0.788 0.500
Ag: 0.788 0.212 0.500

---

Repeat the first record exactly.
DFT (PBE) results for a geometry-optimized La2AgMo structure.

## Properties
**Final energy**: -5.52 eV per atom
**Space-group type**: I-4m2
**Formation energy**: 364 meV/atom

a = 5.766 Å, b = 5.766 Å, c = 5.766 Å
α = 134.12°, β = 134.12°, γ = 66.90°
Element x y z (fractional)
La: 0.000 0.000 0.000
La: 0.750 0.250 0.500
Ag: 0.500 0.500 0.000
Mo: 0.250 0.750 0.500

---

Q: Which of these has the lowest final energy?
A: TiInW2S

---

Copy entry 2 word for word.
DFT (PBE) results for a geometry-optimized TiInW2S structure.

## Properties
**Final energy**: -7.73 eV per atom
**Raw formation energy**: 9.3 kcal/mol of atoms
**Space-group type**: P4/mmm

a = 4.479 Å, b = 4.479 Å, c = 4.477 Å
α = 90.00°, β = 90.00°, γ = 90.00°
Element x y z (fractional)
Ti: 0.000 0.000 0.000
In: 0.500 0.500 0.000
W: 0.000 0.500 0.500
W: 0.500 0.000 0.500
S: 0.000 0.000 0.500